Record 1
VASP calculation (PBE-GGA) on a relaxed Mn2SnSe4 crystal.

Calculated values
M_tot ... 8.05 μB/f.u.
Offset from the most stable computed form ... 0 meV/atom
Final energy ... -155.4 eV for the cell shown
Formation energy without anion corrections ... -36 kJ per mole of atoms
Fermi-level density of states ... 1.8 states/eV/f.u.

Cell lengths 12.355, 7.676, 6.889 Å; angles 90.00, 90.00, 90.00 degrees
Space group Pnma (No. 62)
Unique sites:
Mn 0.000 0.000 0.000 [4 per cell]
Mn 0.227 0.250 0.472 [4 per cell]
Sn 0.134 0.750 0.426 [4 per cell]
Se 0.072 0.250 0.721 [4 per cell]
Se 0.082 0.750 0.832 [4 per cell]
Se 0.181 0.023 0.175 [8 per cell]

Record 2
VASP calculation (PBE-GGA) on a relaxed PuPaNbIn crystal.

Calculated values
M_tot ... 5.23 μB/f.u.
Energy of formation ... 0.27 eV/atom
Final energy ... -142.3 eV for the cell shown
Fermi-level density of states ... 11.2 states/eV/f.u.

Cell lengths 7.269, 7.269, 7.269 Å; angles 90.00, 90.00, 90.00 degrees
Space group F-43m (No. 216)
Unique sites:
Pu 0.000 0.000 0.000 [4 per cell]
Pa 0.000 0.000 0.500 [4 per cell]
Nb 0.250 0.250 0.750 [4 per cell]
In 0.250 0.250 0.250 [4 per cell]

Record 3
VASP calculation (PBE-GGA) on a relaxed Fe2PtRh crystal.

Calculated values
M_tot ... 7.26 μB/f.u.
Energy of formation ... -0.07 eV/atom
Final energy ... -30.6 eV for the cell shown
Fermi-level density of states ... 3.5 states/eV/f.u.

Cell lengths 2.860, 2.860, 6.728 Å; angles 90.00, 90.00, 90.00 degrees
Space group P4mm (No. 99)
Unique sites:
Fe 0.000 0.000 0.000 [1 per cell]
Fe 0.500 0.500 0.223 [1 per cell]
Pt 0.000 0.000 0.470 [1 per cell]
Rh 0.500 0.500 0.771 [1 per cell]

Record 4
VASP calculation (PBE-GGA) on a relaxed LaMnZn2 crystal.

Calculated values
M_tot ... 2.84 μB/f.u.
Energy of formation ... 0.22 eV/atom
Final energy ... -63.0 eV for the cell shown
Fermi-level density of states ... 6.5 states/eV/f.u.

Cell lengths 4.636, 4.636, 17.872 Å; angles 90.00, 90.00, 90.00 degrees
Space group I-42d (No. 122)
Unique sites:
La 0.000 0.000 0.000 [4 per cell]
Mn 0.000 0.000 0.500 [4 per cell]
Zn 0.072 0.250 0.625 [8 per cell]

Record 5
VASP calculation (PBE-GGA) on a relaxed HPbBrO crystal.

Calculated values
M_tot ... 0.00 μB/f.u.
Final energy ... -106.9 eV for the cell shown
Fermi-level density of states ... 0.0 states/eV/f.u.

Cell lengths 4.2872, 4.2872, 31.5557 Å; angles 90.00, 90.00, 120.00 degrees
Space group R-3m (No. 166, hexagonal axes)
Unique sites:
H 0.0000 0.0000 0.2133 [6 per cell]
Pb 0.0000 0.0000 0.4052 [6 per cell]
Br 0.0000 0.0000 0.0000 [3 per cell]
Br 0.0000 0.0000 0.5000 [3 per cell]
O 0.0000 0.0000 0.2445 [6 per cell]

Record 6
VASP calculation (PBE-GGA) on a relaxed Rb2LiCaGa crystal.

Calculated values
M_tot ... 1.67 μB/f.u.
Energy of formation ... 0.33 eV/atom
Final energy ... -7.2 eV for the cell shown
Fermi-level density of states ... 4.2 states/eV/f.u.

Cell lengths 6.732, 6.732, 5.164 Å; angles 90.00, 90.00, 90.00 degrees
Space group P4/mmm (No. 123)
Unique sites:
Rb 0.000 0.500 0.000 [2 per cell]
Li 0.000 0.000 0.000 [1 per cell]
Ca 0.500 0.500 0.500 [1 per cell]
Ga 0.000 0.000 0.500 [1 per cell]

Record 7
VASP calculation (PBE-GGA) on a relaxed MgTc2Os crystal.

Calculated values
M_tot ... 0.00 μB/f.u.
Energy of formation ... 0.68 eV/atom
Final energy ... -123.3 eV for the cell shown
Fermi-level density of states ... 1.9 states/eV/f.u.

Cell lengths 7.368, 7.368, 5.201 Å; angles 90.00, 90.00, 90.00 degrees
Space group I-42d (No. 122)
Unique sites:
Mg 0.000 0.000 0.000 [4 per cell]
Tc 0.197 0.750 0.625 [8 per cell]
Os 0.000 0.000 0.500 [4 per cell]

Record 8
VASP calculation (PBE-GGA) on a relaxed CuBiIO2 crystal.

Calculated values
M_tot ... 0.00 μB/f.u.
Offset from the most stable computed form ... 624 meV/atom
Final energy ... -20.0 eV for the cell shown
Formation energy without anion corrections ... -11 kJ per mole of atoms
Fermi-level density of states ... 1.5 states/eV/f.u.

Cell lengths 4.186, 4.186, 6.902 Å; angles 90.00, 90.00, 90.00 degrees
Space group P4/mmm (No. 123)
Unique sites:
Cu 0.000 0.000 0.000 [1 per cell]
Bi 0.500 0.500 0.500 [1 per cell]
I 0.500 0.500 0.000 [1 per cell]
O 0.000 0.500 0.500 [2 per cell]